Record 1
# CsAg2As

A relaxed CsAg2As crystal (GGA-PBEsol, Alexandria).

```
CsAg2As
1.0
5.811 0.000 0.000
0.000 5.811 0.000
-2.905 -2.905 7.928
Cs As Ag
2 2 4
direct
0.000 0.000 0.000
0.250 0.750 0.500
0.750 0.250 0.500
0.500 0.500 0.000
0.625 0.875 0.250
0.125 0.375 0.750
0.625 0.375 0.250
0.625 0.375 0.750
```

Output
- Crystal system: tetragonal
- Space-group type: No. 141

Record 2
# La2TaRh

A relaxed La2TaRh crystal (GGA-PBEsol, Alexandria).

```
La2TaRh
1.0
3.280 0.000 0.000
0.000 5.293 0.009
0.000 -0.170 5.290
Ta Rh La
1 1 2
direct
0.500 0.500 0.500
0.500 0.000 0.000
0.000 0.500 0.000
0.000 0.000 0.500
```

Output
- DOS(E_F): 1.1600 states/eV/atom
- Crystal system: orthorhombic
- Space-group type: No. 65

Record 3
# Cr4MoOs

A relaxed Cr4MoOs crystal (GGA-PBEsol, Alexandria).

```
Cr4MoOs
1.0
4.706 0.000 0.000
2.353 4.076 0.000
2.353 1.359 3.843
Cr Os Mo
4 1 1
direct
0.872 0.376 0.376
0.376 0.376 0.376
0.376 0.376 0.872
0.376 0.872 0.376
0.000 0.000 0.000
0.750 0.750 0.750
```

Output
- DOS(E_F): 1.1249 states/eV/atom
- Crystal system: cubic
- Space-group type: No. 216

Record 4
# Tl4V2O7

A relaxed Tl4V2O7 crystal (GGA-PBEsol, Alexandria).

```
Tl4V2O7
1.0
5.909 0.000 0.000
-2.954 5.117 0.000
0.000 0.000 7.665
O Tl V
7 4 2
direct
0.157 0.315 0.804
0.843 0.157 0.196
0.315 0.157 0.196
0.843 0.685 0.196
0.685 0.843 0.804
0.000 0.000 0.500
0.157 0.843 0.804
0.333 0.667 0.080
0.667 0.333 0.412
0.333 0.667 0.588
0.667 0.333 0.920
0.000 0.000 0.734
0.000 0.000 0.266
```

Output
- DOS(E_F): 0.0000 states/eV/atom
- Crystal system: trigonal
- Space-group type: No. 164
- E_form (uncorrected): -161.6 kJ per mole of atoms

Record 5
# SrZrW2

A relaxed SrZrW2 crystal (GGA-PBEsol, Alexandria).

```
SrZrW2
1.0
2.822 0.000 0.000
0.000 5.364 0.000
0.000 0.000 5.364
W Sr Zr
2 1 1
direct
0.000 0.500 0.000
0.000 0.000 0.500
0.500 0.000 0.000
0.500 0.500 0.500
```

Output
- DOS(E_F): 1.2891 states/eV/atom
- Crystal system: tetragonal
- Offset from the most stable computed form: 732 meV/atom
- Space-group type: No. 123

Record 6
# Sr3NbCoO7

A relaxed Sr3NbCoO7 crystal (GGA-PBEsol, Alexandria).

```
Sr3NbCoO7
1.0
3.936 0.000 0.000
0.000 3.936 0.000
-1.968 -1.968 10.090
Sr O Co Nb
3 7 1 1
direct
0.308 0.308 0.616
0.678 0.678 0.356
0.516 0.516 0.032
0.002 0.002 0.004
0.402 0.902 0.803
0.095 0.595 0.190
0.193 0.193 0.386
0.804 0.804 0.608
0.902 0.402 0.803
0.595 0.095 0.190
0.100 0.100 0.201
0.906 0.906 0.812
```

Output
- DOS(E_F): 0.3638 states/eV/atom
- Crystal system: tetragonal
- Offset from the most stable computed form: 10 meV/atom
- Space-group type: No. 107
- E_form (uncorrected): -238.3 kJ per mole of atoms

Record 7
# TiP2Pt

A relaxed TiP2Pt crystal (GGA-PBEsol, Alexandria).

```
TiP2Pt
1.0
-0.908 -5.480 -0.614
5.321 -1.033 1.358
-3.498 2.932 4.439
Pt P Ti
2 4 2
direct
0.250 0.750 0.500
0.000 0.000 0.000
0.890 0.375 0.250
0.125 0.110 0.750
0.360 0.875 0.250
0.625 0.640 0.750
0.500 0.500 0.000
0.750 0.250 0.500
```

Output
- DOS(E_F): 0.6614 states/eV/atom
- Crystal system: tetragonal
- Space-group type: No. 122

Record 8
# InSnAu

A relaxed InSnAu crystal (GGA-PBEsol, Alexandria).

```
InSnAu
1.0
4.619 0.000 0.000
0.000 4.619 0.000
0.000 0.000 6.701
In Sn Au
2 2 2
direct
0.000 0.000 0.750
0.000 0.000 0.250
0.500 0.500 0.250
0.500 0.500 0.750
0.000 0.500 0.000
0.500 0.000 0.500
```

Output
- DOS(E_F): 0.3793 states/eV/atom
- Crystal system: tetragonal
- Space-group type: No. 131

Record 9
# EuH2

A relaxed EuH2 crystal (GGA-PBEsol, Alexandria).

```
EuH2
1.0
3.911 0.000 0.000
-1.955 3.387 0.000
0.000 0.000 5.244
H Eu
4 2
direct
0.000 0.000 0.000
0.667 0.333 0.750
0.333 0.667 0.250
0.000 0.000 0.500
0.667 0.333 0.250
0.333 0.667 0.750
```

Output
- DOS(E_F): 1.5050 states/eV/atom
- Crystal system: hexagonal
- Space-group type: No. 194

Record 10
# NiSb2TeN

A relaxed NiSb2TeN crystal (GGA-PBEsol, Alexandria).

```
NiSb2TeN
1.0
4.860 0.000 0.000
0.000 4.860 0.000
0.000 0.000 4.999
Sb Ni Te N
2 1 1 1
direct
0.000 0.500 0.000
0.500 0.000 0.000
0.000 0.000 0.000
0.000 0.000 0.500
0.500 0.500 0.500
```

Output
- DOS(E_F): 0.7701 states/eV/atom
- Crystal system: tetragonal
- Offset from the most stable computed form: 504 meV/atom
- Space-group type: No. 123
- E_form (uncorrected): 121.3 kJ per mole of atoms

Record 11
# La3NiS

A relaxed La3NiS crystal (GGA-PBEsol, Alexandria).

```
La3NiS
1.0
-1.552 -4.931 -1.086
1.346 0.691 -5.061
4.866 -1.763 1.054
La S Ni
3 1 1
direct
0.000 0.500 0.000
0.500 0.000 0.000
0.000 0.000 0.500
0.500 0.500 0.500
0.000 0.000 0.000
```

Output
- DOS(E_F): 1.2569 states/eV/atom
- Crystal system: cubic
- Space-group type: No. 221
- E_form (uncorrected): -23.7 kJ per mole of atoms

Record 12
# LaZnOs2

A relaxed LaZnOs2 crystal (GGA-PBEsol, Alexandria).

```
LaZnOs2
1.0
-0.351 -4.578 -0.625
3.765 -2.681 0.341
0.479 -2.874 3.604
Os La Zn
2 1 1
direct
0.000 0.000 0.000
0.750 0.750 0.750
0.500 0.500 0.500
0.250 0.250 0.250
```

Output
- DOS(E_F): 1.2417 states/eV/atom
- Crystal system: cubic
- Space-group type: No. 216

no.,uncorrected energy (eV per atom)
1,-3.284
2,-7.625
3,-10.782
4,-6.793
5,-8.373
6,-7.539
7,-7.043
8,-3.923
9,-6.331
10,-4.208
11,-5.562
12,-7.245